Density functional theory data (PBEsol) for crystalline Y2AlCo at its relaxed geometry.

## Properties
magnetization: 0.0001 μB per atom
N(E_F): 0.937 states/eV/atom
E: -6.61 eV/atom
calculated formation energy: -23.7 kJ/mol of atoms
volume: 173.00 Å³ per cell

The structure in CIF format:
```
data_Y2AlCo
_cell_length_a 4.232
_cell_length_b 3.818
_cell_length_c 10.707
_cell_angle_alpha 90.00
_cell_angle_beta 90.00
_cell_angle_gamma 90.00
_space_group_name_H-M_alt 'A m m 2'
_space_group_IT_number 38
_space_group_name_Hall 'A 2 -2'
loop_
_atom_site_label
_atom_site_type_symbol
_atom_site_fract_x
_atom_site_fract_y
_atom_site_fract_z
Y1 Y 0.000 0.000 0.000
Y2 Y 0.500 0.000 0.284
Al1 Al 0.500 0.000 0.577
Co1 Co 0.000 0.000 0.696
```